Material: ZrMoPbO6
Method: DFT, PBE+U
State: relaxed

abc: 5.4558 5.4558 10.6186
angles: 90.00 90.00 120.00
Closest atoms and distances in Å follow each position.
Space group P-31c (No. 163)
Symmetry-distinct sites (fractional):
Zr 0.3333 0.6667 0.2500 [2 per cell]  6 O 2.12
Mo 0.3333 0.6667 0.7500 [2 per cell]  6 O 1.95
Pb 0.0000 0.0000 0.0000 [2 per cell]  6 O 2.58
O 0.0222 0.3893 0.6460 [12 per cell]  1 Mo 1.95, 1 Zr 2.12

Output
VASP energy = -7.52 eV/atom